Entry 1:
Material: ScPbIO2
Method: DFT, PBE-GGA
State: optimized geometry

a = 4.365 Å, b = 4.365 Å, c = 6.095 Å
α = 90.00°, β = 90.00°, γ = 90.00°
Element x y z (fractional)
Sc1 0.000 0.000 0.000
Pb1 0.500 0.500 0.500
I1 0.500 0.500 0.000
O1 0.000 0.500 0.500
O2 0.500 0.000 0.500

Offset from the most stable computed form = 1011 meV per atom
Final energy = -0.335 Ry per atom
Uncorrected formation energy = -0.26 eV/atom
N(E_F) = 0.88 states/eV per atom


Entry 2:
Material: ScPbIO6
Method: DFT, PBE-GGA
State: optimized geometry

a = 5.428 Å, b = 5.428 Å, c = 5.340 Å
α = 90.00°, β = 90.00°, γ = 120.00°
Element x y z (fractional)
Sc1 0.000 0.000 0.000
Pb1 0.667 0.333 0.500
I1 0.333 0.667 0.000
O1 0.059 0.363 0.203
O2 0.059 0.696 0.797
O3 0.304 0.363 0.797
O4 0.304 0.941 0.203
O5 0.637 0.696 0.203
O6 0.637 0.941 0.797

Final energy = -0.443 Ry per atom
Uncorrected formation energy = -1.44 eV/atom
N(E_F) = 0.00 states/eV per atom


Entry 3:
Material: ScPbIO2
Method: DFT, PBE-GGA
State: optimized geometry

a = 4.309 Å, b = 4.309 Å, c = 5.633 Å
α = 90.00°, β = 90.00°, γ = 90.00°
Element x y z (fractional)
Sc1 0.000 0.000 0.000
Pb1 0.500 0.500 0.500
I1 0.000 0.000 0.500
O1 0.000 0.500 0.000
O2 0.500 0.000 0.000

Offset from the most stable computed form = 0 meV per atom
Final energy = -0.409 Ry per atom
Uncorrected formation energy = -1.27 eV/atom
N(E_F) = 0.26 states/eV per atom


Entry 4:
Material: Pb3Se2I2O6
Method: DFT, PBE-GGA
State: optimized geometry

a = 7.445 Å, b = 7.445 Å, c = 14.968 Å
α = 94.56°, β = 94.56°, γ = 46.61°
Element x y z (fractional)
Pb1 0.079 0.921 0.750
Pb2 0.264 0.324 0.155
Pb3 0.324 0.264 0.655
Pb4 0.676 0.736 0.345
Pb5 0.736 0.676 0.845
Pb6 0.921 0.079 0.250
Se1 0.392 0.409 0.368
Se2 0.409 0.392 0.868
Se3 0.591 0.608 0.132
Se4 0.608 0.591 0.632
I1 0.133 0.156 0.943
I2 0.156 0.133 0.443
I3 0.844 0.867 0.557
I4 0.867 0.844 0.057
O1 0.130 0.560 0.802
O2 0.135 0.598 0.295
O3 0.402 0.865 0.205
O4 0.425 0.536 0.648
O5 0.440 0.870 0.698
O6 0.464 0.575 0.852
O7 0.536 0.425 0.148
O8 0.560 0.130 0.302
O9 0.575 0.464 0.352
O10 0.598 0.135 0.795
O11 0.865 0.402 0.705
O12 0.870 0.440 0.198

Final energy = -0.358 Ry per atom
Uncorrected formation energy = -0.95 eV/atom
N(E_F) = 0.00 states/eV per atom


Entry 5:
Material: PbSeI2O
Method: DFT, PBE-GGA
State: optimized geometry

a = 6.006 Å, b = 6.006 Å, c = 3.903 Å
α = 90.00°, β = 90.00°, γ = 90.00°
Element x y z (fractional)
Pb1 0.000 0.000 0.000
Se1 0.500 0.500 0.500
I1 0.000 0.500 0.500
I2 0.500 0.000 0.500
O1 0.500 0.500 0.000

Offset from the most stable computed form = 0 meV per atom
Final energy = -0.229 Ry per atom
Uncorrected formation energy = -0.07 eV/atom
N(E_F) = 0.61 states/eV per atom


Entry 6:
Material: PbSeI2O
Method: DFT, PBE-GGA
State: optimized geometry

a = 6.398 Å, b = 6.398 Å, c = 4.196 Å
α = 90.00°, β = 90.00°, γ = 90.00°
Element x y z (fractional)
Pb1 0.000 0.000 0.000
Se1 0.500 0.500 0.500
I1 0.000 0.500 0.000
I2 0.500 0.000 0.000
O1 0.000 0.000 0.500

Offset from the most stable computed form = 271 meV per atom
Final energy = -0.209 Ry per atom
Uncorrected formation energy = 0.20 eV/atom
N(E_F) = 0.67 states/eV per atom


Entry 7:
Material: PbSeIO4
Method: DFT, PBE-GGA
State: optimized geometry

a = 8.529 Å, b = 8.529 Å, c = 6.923 Å
α = 108.75°, β = 108.75°, γ = 40.93°
Element x y z (fractional)
Pb1 0.196 0.196 0.243
Pb2 0.804 0.804 0.757
Se1 0.179 0.179 0.756
Se2 0.821 0.821 0.244
I1 0.457 0.457 0.795
I2 0.543 0.543 0.205
O1 0.038 0.592 0.392
O2 0.089 0.089 0.824
O3 0.269 0.269 0.972
O4 0.408 0.962 0.608
O5 0.592 0.038 0.392
O6 0.731 0.731 0.028
O7 0.911 0.911 0.176
O8 0.962 0.408 0.608

Final energy = -0.353 Ry per atom
Uncorrected formation energy = -0.72 eV/atom
N(E_F) = 0.00 states/eV per atom


Entry 8:
Material: SiPbIO6
Method: DFT, PBE-GGA
State: optimized geometry

a = 5.135 Å, b = 5.135 Å, c = 5.510 Å
α = 90.00°, β = 90.00°, γ = 120.00°
Element x y z (fractional)
Si1 0.000 0.000 0.000
Pb1 0.667 0.333 0.500
I1 0.333 0.667 0.000
O1 0.037 0.303 0.194
O2 0.037 0.733 0.806
O3 0.267 0.303 0.806
O4 0.267 0.963 0.194
O5 0.697 0.733 0.194
O6 0.697 0.963 0.806

Final energy = -0.418 Ry per atom
Uncorrected formation energy = -1.19 eV/atom
N(E_F) = 0.38 states/eV per atom